Material: LaSmMg4
Method: DFT, PBE
State: relaxed

Results
The uncorrected energy is -0.1023 hartree per atom. For the formation energy from the elements, the calculation gives -0.1138 eV/atom. The calculation puts the calculated volume at 657.5 Å³/cell. As for the size of the total moment: 0.000 μB per atom.

The structure in CIF format:
```
data_LaSmMg4
_space_group_name_H-M_alt 'F -4 3 m'
_space_group_IT_number 216
_space_group_name_Hall 'F -4 2 3'
_cell_length_a 8.6957
_cell_length_b 8.6957
_cell_length_c 8.6957
_cell_angle_alpha 90.00
_cell_angle_beta 90.00
_cell_angle_gamma 90.00
loop_
_atom_site_label
_atom_site_type_symbol
_atom_site_fract_x
_atom_site_fract_y
_atom_site_fract_z
La1 La 0.0000 0.0000 0.0000
Sm1 Sm 0.2500 0.2500 0.7500
Mg1 Mg 0.1247 0.1247 0.3753
```

---

Material: La4Sm4Mg
Method: DFT, PBE
State: relaxed

Results
The uncorrected energy is -0.1637 hartree per atom. For the formation energy from the elements, the calculation gives 0.0099 eV/atom. The calculation puts the calculated volume at 612.2 Å³/cell. As for the size of the total moment: 0.000 μB per atom.

The structure in CIF format:
```
data_La4Sm4Mg
_space_group_name_H-M_alt 'P -1'
_space_group_IT_number 2
_cell_length_a 7.2742
_cell_length_b 8.1325
_cell_length_c 10.9002
_cell_angle_alpha 77.21
_cell_angle_beta 89.68
_cell_angle_gamma 77.07
loop_
_space_group_symop_operation_xyz
'x,y,z'
'-x,-y,-z'
loop_
_atom_site_label
_atom_site_type_symbol
_atom_site_fract_x
_atom_site_fract_y
_atom_site_fract_z
La1 La 0.0841 0.1635 0.0572
La2 La 0.0865 0.1614 0.3910
La3 La 0.2512 0.5023 0.1664
La4 La 0.4149 0.8341 0.6148
Sm1 Sm 0.2488 0.4931 0.8313
Sm2 Sm 0.2511 0.4994 0.4999
Sm3 Sm 0.4180 0.8344 0.9410
Sm4 Sm 0.4190 0.8322 0.2779
Mg1 Mg 0.0823 0.1723 0.7215
```

---

Material: La5SmMg4
Method: DFT, PBE
State: relaxed

Results
The uncorrected energy is -0.1343 hartree per atom. For the formation energy from the elements, the calculation gives -0.0801 eV/atom. The calculation puts the calculated volume at 321.5 Å³/cell. As for the size of the total moment: 0.000 μB per atom.

The structure in CIF format:
```
data_La5SmMg4
_space_group_name_H-M_alt 'P 4/m m m'
_space_group_IT_number 123
_space_group_name_Hall '-P 4 2'
_cell_length_a 3.9063
_cell_length_b 3.9063
_cell_length_c 21.0704
_cell_angle_alpha 90.00
_cell_angle_beta 90.00
_cell_angle_gamma 90.00
loop_
_atom_site_label
_atom_site_type_symbol
_atom_site_fract_x
_atom_site_fract_y
_atom_site_fract_z
La1 La 0.0000 0.0000 0.0000
La2 La 0.0000 0.0000 0.1909
La3 La 0.0000 0.0000 0.3829
Sm1 Sm 0.5000 0.5000 0.5000
Mg1 Mg 0.5000 0.5000 0.0956
Mg2 Mg 0.5000 0.5000 0.2875
```

---

Material: La7Sm3Mg
Method: DFT, PBE
State: relaxed

Results
The uncorrected energy is -0.1621 hartree per atom. For the formation energy from the elements, the calculation gives 0.1567 eV/atom. The calculation puts the calculated volume at 400.6 Å³/cell. As for the size of the total moment: 0.000 μB per atom.

The structure in CIF format:
```
data_La7Sm3Mg
_space_group_name_H-M_alt 'P 3 m 1'
_space_group_IT_number 156
_cell_length_a 7.2496
_cell_length_b 7.2496
_cell_length_c 8.8022
_cell_angle_alpha 90.00
_cell_angle_beta 90.00
_cell_angle_gamma 120.00
loop_
_space_group_symop_operation_xyz
'x,y,z'
'-y,x-y,z'
'-x+y,-x,z'
'-y,-x,z'
'-x+y,y,z'
'x,x-y,z'
loop_
_atom_site_label
_atom_site_type_symbol
_atom_site_fract_x
_atom_site_fract_y
_atom_site_fract_z
La1 La 0.0000 0.0000 0.0000
La2 La 0.0002 0.5001 0.0063
La3 La 0.1651 0.3302 0.6664
Sm1 Sm 0.3306 0.1653 0.3359
Mg1 Mg 0.6667 0.3333 0.6704
```